VASP calculation (PBE) on Li3ScS after structural relaxation.

Calculated values
Final energy ... -0.2570 Ry per atom
Symmetry ... Pm-3m
Total magnetic moment ... 1.901 Bohr magnetons per cell
Crystal system ... cubic
Formation energy without anion corrections ... -0.26 eV/atom
Excess energy over the best structure of this formula in the dataset ... 0.0000 eV per atom
Density of states at the Fermi level ... 0.398 states/eV/atom

Cell: 4.6511 4.6511 4.6511 Å, 90.00 90.00 90.00°
Closest atoms and distances in Å follow each position.
Positions (direct):
Li (0.0000, 0.0000, 0.5000)  2 S 2.33
Li (0.0000, 0.5000, 0.0000)  2 S 2.33
Li (0.5000, 0.0000, 0.0000)  2 S 2.33
Sc (0.5000, 0.5000, 0.5000)  12 Li 3.29
S (0.0000, 0.0000, 0.0000)  6 Li 2.33

***

VASP calculation (PBE) on MgBeB after structural relaxation.

Calculated values
Final energy ... -0.2869 Ry per atom
Symmetry ... Immm
Total magnetic moment ... 0.000 Bohr magnetons per cell
Crystal system ... orthorhombic
Excess energy over the best structure of this formula in the dataset ... 0.0924 eV per atom
Density of states at the Fermi level ... 0.208 states/eV/atom

Cell: 5.3763 5.3763 5.3763 Å, 145.82 130.01 61.95°
Closest atoms and distances in Å follow each position.
Positions (direct):
Mg (0.2018, 0.2018, 0.0000)  4 B 2.49-2.50, 4 Be 2.73
Mg (0.7982, 0.7982, 0.0000)  4 B 2.49-2.50, 4 Be 2.73
Be (0.2711, 0.5000, 0.7711)  4 B 2.06, 1 Be 2.08
Be (0.7289, 0.5000, 0.2289)  4 B 2.06, 1 Be 2.08
B (0.4105, 0.9105, 0.5000)  1 B 1.65
B (0.5895, 0.0895, 0.5000)  1 B 1.65

***

VASP calculation (PBE) on YFeRu2C after structural relaxation.

Calculated values
Final energy ... -0.6359 Ry per atom
Symmetry ... P4/mmm
Total magnetic moment ... 0.924 Bohr magnetons per cell
Crystal system ... tetragonal
Density of states at the Fermi level ... 1.028 states/eV/atom

Cell: 4.1789 4.1789 3.9478 Å, 90.00 90.00 90.00°
Closest atoms and distances in Å follow each position.
Positions (direct):
Y (0.0000, 0.0000, 0.0000)  8 Ru 2.87, 4 Fe 2.95
Fe (0.5000, 0.5000, 0.0000)  2 C 1.97
Ru (0.0000, 0.5000, 0.5000)  2 C 2.09
Ru (0.5000, 0.0000, 0.5000)  2 C 2.09
C (0.5000, 0.5000, 0.5000)  2 Fe 1.97, 4 Ru 2.09

***

VASP calculation (PBE) on Nd2PuNpSb4 after structural relaxation.

Calculated values
Final energy ... -0.5475 Ry per atom
Symmetry ... P2/m
Total magnetic moment ... 8.954 Bohr magnetons per cell
Crystal system ... monoclinic
Formation energy without anion corrections ... -0.79 eV/atom
Density of states at the Fermi level ... 3.340 states/eV/atom

Cell: 7.7384 4.4657 7.7409 Å, 90.00 109.42 90.00°
Closest atoms and distances in Å follow each position.
Positions (direct):
Nd (0.0000, 0.0000, 0.0000)  6 Sb 3.20-3.21
Nd (0.5000, 0.5000, 0.0000)  6 Sb 3.19
Pu (0.0000, 0.5000, 0.5000)  6 Sb 3.13
Np (0.5000, 0.0000, 0.5000)  6 Sb 3.11-3.12
Sb (0.2484, 0.0000, 0.7408)  1 Np 3.11, 2 Pu 3.13, 3 Nd 3.19-3.21
Sb (0.2542, 0.5000, 0.2591)  2 Np 3.12, 1 Pu 3.13, 3 Nd 3.19-3.20
Sb (0.7458, 0.5000, 0.7409)  2 Np 3.12, 1 Pu 3.13, 3 Nd 3.19-3.20
Sb (0.7516, 0.0000, 0.2592)  1 Np 3.11, 2 Pu 3.13, 3 Nd 3.19-3.21